Density functional theory data (PBE) for crystalline K2InSb at its relaxed geometry.

Lattice parameters (Å, degrees): 5.4893 3.3987 7.9882 65.20 90.00 90.00
Fractional coordinates of all 4 atoms:
K  0.0000  0.5172  0.4831
K  0.0000  0.9828  0.0169
Sb  0.5000  0.2500  0.2500
In  0.5000  0.7500  0.7500

Results
Raw formation energy (kJ/mol of formula units): -56

Density functional theory data (PBE) for crystalline Tl2InW at its relaxed geometry.

Lattice parameters (Å, degrees): 5.1735 5.1735 5.1735 60.00 60.00 60.00
Fractional coordinates of all 4 atoms:
In  0.5000  0.5000  0.5000
Tl  0.2500  0.2500  0.2500
Tl  0.0000  0.0000  0.0000
W  0.7500  0.7500  0.7500

Results
ΔE_f (eV per atom): 1.095

Density functional theory data (PBE) for crystalline InB2Rh4 at its relaxed geometry.

Lattice parameters (Å, degrees): 5.5906 5.4086 7.0237 104.15 95.33 109.65
Fractional coordinates of all 14 atoms:
B  0.4772  0.3100  0.5735
B  0.7538  0.8280  0.3254
B  0.1284  0.5080  0.9582
B  0.5425  0.2138  0.0193
Rh  0.2564  0.2161  0.7896
Rh  0.5686  0.1031  0.3195
Rh  0.7325  0.6882  0.5775
Rh  0.8944  0.5181  0.1800
Rh  0.7624  0.2490  0.7667
Rh  0.4422  0.7995  0.8995
Rh  0.0896  0.1690  0.3903
Rh  0.4013  0.5011  0.1871
In  0.2391  0.7392  0.5265
In  0.9615  0.9067  0.9868

Results
ΔE_f (eV per atom): -0.229

Density functional theory data (PBE) for crystalline Ag9Te2Se3 at its relaxed geometry.

Lattice parameters (Å, degrees): 13.3297 8.0934 8.0934 109.97 105.10 105.10
Fractional coordinates of all 28 atoms:
Te  0.1029  0.1606  0.4568
Te  0.8971  0.8394  0.5432
Te  0.8971  0.5432  0.8394
Te  0.1029  0.4568  0.1606
Ag  0.8920  0.8508  0.1876
Ag  0.3567  0.9848  0.3001
Ag  0.3567  0.3001  0.9848
Ag  0.7921  0.8061  0.8061
Ag  0.2079  0.1939  0.1939
Ag  0.7435  0.4692  0.4692
Ag  0.7481  0.9933  0.4235
Ag  0.5000  0.8854  0.1146
Ag  0.8920  0.1876  0.8508
Ag  0.2565  0.5308  0.5308
Ag  0.5000  0.1146  0.8854
Ag  0.1080  0.1492  0.8124
Ag  0.6433  0.6999  0.0152
Ag  0.2519  0.0067  0.5765
Ag  0.6433  0.0152  0.6999
Ag  0.1080  0.8124  0.1492
Ag  0.2519  0.5765  0.0067
Ag  0.7481  0.4235  0.9933
Se  0.3963  0.8413  0.5483
Se  0.3963  0.5483  0.8413
Se  0.6037  0.4517  0.1587
Se  0.7456  0.0465  0.0465
Se  0.6037  0.1587  0.4517
Se  0.2544  0.9535  0.9535

Results
Raw formation energy (kJ/mol of formula units): -29

Density functional theory data (PBE) for crystalline BPtBr3 at its relaxed geometry.

Lattice parameters (Å, degrees): 4.6714 4.6714 4.6714 90.00 90.00 90.00
Fractional coordinates of all 5 atoms:
Br  0.0000  0.5000  0.0000
Br  0.0000  0.0000  0.5000
Br  0.5000  0.0000  0.0000
B  0.0000  0.0000  0.0000
Pt  0.5000  0.5000  0.5000

Results
Raw formation energy (kJ/mol of formula units): 514

Density functional theory data (PBE) for crystalline UCuIr2 at its relaxed geometry.

Lattice parameters (Å, degrees): 3.8440 4.1315 4.1315 90.00 90.00 90.00
Fractional coordinates of all 4 atoms:
U  0.5000  0.5000  0.5000
Ir  0.0000  0.0000  0.5000
Ir  0.0000  0.5000  0.0000
Cu  0.5000  0.0000  0.0000

Results
ΔE_f (eV per atom): -0.388

Density functional theory data (PBE) for crystalline KRbHfS3 at its relaxed geometry.

Lattice parameters (Å, degrees): 6.8468 7.5966 8.3637 62.99 84.82 78.54
Fractional coordinates of all 12 atoms:
K  0.2500  0.5859  0.8282
K  0.7500  0.4141  0.1718
Hf  0.7500  0.0492  0.9016
Hf  0.2500  0.9508  0.0984
Rb  0.7500  0.7613  0.4774
Rb  0.2500  0.2387  0.5226
S  0.7500  0.2085  0.5831
S  0.2500  0.7915  0.4169
S  0.4991  0.8273  0.9227
S  0.9991  0.7500  0.0773
S  0.5009  0.1727  0.0773
S  0.0009  0.2500  0.9227

Results
Raw formation energy (kJ/mol of formula units): -859

Density functional theory data (PBE) for crystalline TbEr2Al2 at its relaxed geometry.

Lattice parameters (Å, degrees): 3.6130 5.1314 13.4424 90.00 97.73 90.00
Fractional coordinates of all 10 atoms:
Al  0.4511  0.7500  0.9024
Al  0.3598  0.2500  0.7186
Al  0.6402  0.7500  0.2814
Al  0.5489  0.2500  0.0976
Tb  0.1446  0.2500  0.2911
Tb  0.8554  0.7500  0.7089
Er  0.7668  0.2500  0.5327
Er  0.0468  0.7500  0.0937
Er  0.9532  0.2500  0.9063
Er  0.2332  0.7500  0.4673

Results
ΔE_f (eV per atom): -0.317

Density functional theory data (PBE) for crystalline La14NdSc at its relaxed geometry.

Lattice parameters (Å, degrees): 7.3657 7.3657 10.4651 90.00 90.00 89.89
Fractional coordinates of all 16 atoms:
La  0.6196  0.3804  0.2455
La  0.6195  0.8695  0.2456
La  0.8752  0.6253  0.0000
La  0.3753  0.1253  0.5000
La  0.3748  0.6252  0.5000
La  0.6195  0.8695  0.7544
La  0.1304  0.8696  0.2456
La  0.1305  0.3805  0.2456
La  0.1304  0.8696  0.7544
La  0.8747  0.6247  0.5000
La  0.8753  0.1247  0.5000
La  0.1305  0.3805  0.7544
La  0.3747  0.1248  0.0000
La  0.6196  0.3804  0.7545
Sc  0.3751  0.6249  0.0000
Nd  0.8748  0.1252  0.0000

Results
ΔE_f (eV per atom): 0.014

Density functional theory data (PBE) for crystalline AcLa3Pm2N6 at its relaxed geometry.

Lattice parameters (Å, degrees): 6.4778 6.4778 6.4555 99.55 99.55 120.03
Fractional coordinates of all 12 atoms:
N  0.2656  0.2656  0.7542
N  0.0834  0.4295  0.2493
N  0.4295  0.0834  0.2493
N  0.5705  0.9166  0.7507
N  0.9166  0.5705  0.7507
N  0.7344  0.7344  0.2458
Ac  0.0000  0.0000  0.0000
Pm  0.3342  0.6658  0.0000
Pm  0.6658  0.3342  0.0000
La  0.5000  0.5000  0.5000
La  0.8301  0.1699  0.5000
La  0.1699  0.8301  0.5000

Results
Raw formation energy (kJ/mol of formula units): -1499